1.
An optimized crystal structure of CaTb2PuTe4, computed with GGA-PBE.

Output
Volume   487 Å³/cell
DFT total energy   -6.11 eV/atom
Space group   I-4m2 (119)

a = 6.239 Å, b = 6.239 Å, c = 12.506 Å
α = 90.00°, β = 90.00°, γ = 90.00°
Positions (direct):
1 Ca 0.000 0.000 0.000
2 Ca 0.500 0.500 0.500
3 Tb 0.000 0.000 0.500
4 Tb 0.000 0.500 0.250
5 Tb 0.500 0.000 0.750
6 Tb 0.500 0.500 0.000
7 Pu 0.000 0.500 0.750
8 Pu 0.500 0.000 0.250
9 Te 0.000 0.000 0.251
10 Te 0.000 0.000 0.749
11 Te 0.000 0.500 0.002
12 Te 0.000 0.500 0.498
13 Te 0.500 0.000 0.502
14 Te 0.500 0.000 0.998
15 Te 0.500 0.500 0.249
16 Te 0.500 0.500 0.751



2.
An optimized crystal structure of CaTb3Pu2Te6, computed with GGA-PBE.

Output
Volume   365 Å³/cell
DFT total energy   -6.59 eV/atom
Space group   C2/m (12)

a = 9.888 Å, b = 9.888 Å, c = 8.862 Å
α = 103.34°, β = 103.34°, γ = 25.67°
Positions (direct):
1 Ca 0.000 0.000 0.000
2 Tb 0.000 0.000 0.500
3 Tb 0.333 0.333 0.170
4 Tb 0.667 0.667 0.830
5 Pu 0.332 0.332 0.665
6 Pu 0.668 0.668 0.335
7 Te 0.165 0.165 0.584
8 Te 0.167 0.167 0.079
9 Te 0.499 0.499 0.251
10 Te 0.501 0.501 0.749
11 Te 0.833 0.833 0.921
12 Te 0.835 0.835 0.416



3.
An optimized crystal structure of CaPuTc, computed with GGA-PBE.

Output
Volume   146 Å³/cell
DFT total energy   -8.69 eV/atom
Space group   I4mm (107)

a = 3.431 Å, b = 3.431 Å, c = 12.392 Å
α = 90.00°, β = 90.00°, γ = 90.00°
Positions (direct):
1 Ca 0.000 0.000 0.000
2 Ca 0.500 0.500 0.500
3 Pu 0.000 0.000 0.272
4 Pu 0.500 0.500 0.772
5 Tc 0.000 0.000 0.671
6 Tc 0.500 0.500 0.171



4.
An optimized crystal structure of Ca2PuTe4, computed with GGA-PBE.

Output
Volume   475 Å³/cell
DFT total energy   -5.59 eV/atom
Space group   Cmcm (63)

a = 7.810 Å, b = 7.810 Å, c = 14.710 Å
α = 90.00°, β = 90.00°, γ = 148.02°
Positions (direct):
1 Ca 0.132 0.868 0.568
2 Ca 0.132 0.868 0.932
3 Ca 0.868 0.132 0.068
4 Ca 0.868 0.132 0.432
5 Pu 0.378 0.622 0.750
6 Pu 0.622 0.378 0.250
7 Te 0.024 0.976 0.750
8 Te 0.221 0.779 0.127
9 Te 0.221 0.779 0.373
10 Te 0.500 0.500 0.000
11 Te 0.500 0.500 0.500
12 Te 0.779 0.221 0.627
13 Te 0.779 0.221 0.873
14 Te 0.976 0.024 0.250



5.
An optimized crystal structure of CaPuTe2, computed with GGA-PBE.

Output
Volume   116 Å³/cell
DFT total energy   -6.76 eV/atom
Space group   P4/mmm (123)

a = 5.500 Å, b = 5.500 Å, c = 3.833 Å
α = 90.00°, β = 90.00°, γ = 90.00°
Positions (direct):
1 Ca 0.000 0.000 0.000
2 Pu 0.500 0.500 0.000
3 Te 0.000 0.500 0.500
4 Te 0.500 0.000 0.500



6.
An optimized crystal structure of CaPu2Te3, computed with GGA-PBE.

Output
Volume   380 Å³/cell
DFT total energy   -7.92 eV/atom
Space group   Immm (71)

a = 4.475 Å, b = 6.324 Å, c = 13.418 Å
α = 90.00°, β = 90.00°, γ = 90.00°
Positions (direct):
1 Ca 0.000 0.000 0.000
2 Ca 0.500 0.500 0.500
3 Pu 0.000 0.000 0.334
4 Pu 0.000 0.000 0.666
5 Pu 0.500 0.500 0.166
6 Pu 0.500 0.500 0.834
7 Te 0.000 0.500 0.000
8 Te 0.000 0.500 0.332
9 Te 0.000 0.500 0.668
10 Te 0.500 0.000 0.168
11 Te 0.500 0.000 0.500
12 Te 0.500 0.000 0.832



7.
An optimized crystal structure of CaPu2Te4, computed with GGA-PBE.

Output
Volume   479 Å³/cell
DFT total energy   -7.31 eV/atom
Space group   Cmcm (63)

a = 7.506 Å, b = 7.506 Å, c = 15.195 Å
α = 90.00°, β = 90.00°, γ = 145.98°
Positions (direct):
1 Ca 0.114 0.886 0.750
2 Ca 0.886 0.114 0.250
3 Pu 0.365 0.635 0.568
4 Pu 0.365 0.635 0.932
5 Pu 0.635 0.365 0.068
6 Pu 0.635 0.365 0.432
7 Te 0.000 0.000 0.000
8 Te 0.000 0.000 0.500
9 Te 0.276 0.724 0.121
10 Te 0.276 0.724 0.379
11 Te 0.456 0.544 0.750
12 Te 0.544 0.456 0.250
13 Te 0.724 0.276 0.621
14 Te 0.724 0.276 0.879



8.
An optimized crystal structure of CaPuTe2, computed with GGA-PBE.

Output
Volume   383 Å³/cell
DFT total energy   -6.98 eV/atom
Space group   R-3m (166)

a = 4.476 Å, b = 4.476 Å, c = 22.097 Å
α = 90.00°, β = 90.00°, γ = 120.00°
Positions (direct):
1 Ca 0.000 0.000 0.000
2 Ca 0.333 0.667 0.667
3 Ca 0.667 0.333 0.333
4 Pu 0.000 0.000 0.500
5 Pu 0.333 0.667 0.167
6 Pu 0.667 0.333 0.833
7 Te 0.000 0.000 0.250
8 Te 0.000 0.000 0.750
9 Te 0.333 0.667 0.417
10 Te 0.333 0.667 0.916
11 Te 0.667 0.333 0.084
12 Te 0.667 0.333 0.583